Record 1
The following is a DFT calculation (GGA-PBE) of a relaxed structure of PuPd9Pt3.

Properties
space group	No. 12
crystal system	monoclinic
energy of formation	-0.17	eV per atom

a b c (Å): 5.2957 6.9814 6.9761
angles (deg): 81.62 67.69 67.42
Last column: nearest neighbours and their distance in Å.
Element x y z (fractional)
Pu 0.0000 0.0000 0.0000  14 Pd 3.17-3.49, 6 Pt 3.48-3.49
Pd 0.7164 0.7830 0.7835  7 Pd 2.65-2.94, 3 Pt 2.65-2.66
Pd 0.2836 0.2170 0.2165  7 Pd 2.65-2.94, 3 Pt 2.65-2.66
Pd 0.5001 0.2170 0.7835  7 Pd 2.65-2.94, 3 Pt 2.65-2.66
Pd 0.4999 0.7830 0.2165  7 Pd 2.65-2.94, 3 Pt 2.65-2.66
Pd 0.6494 0.3471 0.3470  3 Pt 2.77-2.78, 6 Pd 2.79-2.94
Pd 0.3506 0.6529 0.6530  3 Pt 2.77-2.78, 6 Pd 2.79-2.94
Pd 0.0036 0.6529 0.3470  3 Pt 2.77-2.78, 6 Pd 2.79-2.94
Pd 0.9964 0.3471 0.6530  3 Pt 2.77-2.78, 6 Pd 2.79-2.94
Pd 0.0000 0.5000 0.0000  2 Pt 2.65, 8 Pd 2.65-2.79
Pt 0.5000 0.5000 0.0000  10 Pd 2.65-2.77
Pt 0.0000 0.0000 0.5000  2 Pt 2.65, 8 Pd 2.65-2.78
Pt 0.5000 0.0000 0.5000  2 Pt 2.65, 8 Pd 2.65-2.78

---

Record 2
The following is a DFT calculation (GGA-PBE) of a relaxed structure of PuPd2Pt.

Properties
space group	No. 225
crystal system	cubic
energy of formation	-0.48	eV per atom
energy relative to the lowest polymorph listed for this composition	148.5	meV per atom

a b c (Å): 4.6851 4.6851 4.6851
angles (deg): 60.00 60.00 60.00
Last column: nearest neighbours and their distance in Å.
Element x y z (fractional)
Pd 0.2500 0.2500 0.2500  4 Pt 2.87, 4 Pu 2.87
Pd 0.7500 0.7500 0.7500  4 Pt 2.87, 4 Pu 2.87
Pt 0.5000 0.5000 0.5000  8 Pd 2.87
Pu 0.0000 0.0000 0.0000  8 Pd 2.87

---

Record 3
The following is a DFT calculation (GGA-PBE) of a relaxed structure of PuPd2Pt4.

Properties
space group	No. 12
crystal system	monoclinic
energy of formation	-0.38	eV per atom

a b c (Å): 5.3212 5.4786 5.4786
angles (deg): 76.45 61.07 61.07
Last column: nearest neighbours and their distance in Å.
Element x y z (fractional)
Pu 0.0000 0.0000 0.0000  4 Pt 2.87
Pd 0.7505 0.4995 0.4995  2 Pd 2.66, 8 Pt 2.78-2.79
Pd 0.2495 0.5005 0.5005  2 Pd 2.66, 8 Pt 2.78-2.79
Pt 0.7002 0.5990 0.0000  4 Pt 2.72-2.83, 4 Pd 2.78-2.79, 1 Pu 2.87
Pt 0.2998 0.4010 0.0000  4 Pt 2.72-2.83, 4 Pd 2.78-2.79, 1 Pu 2.87
Pt 0.7002 0.0000 0.5990  4 Pt 2.72-2.83, 4 Pd 2.78-2.79, 1 Pu 2.87
Pt 0.2998 0.0000 0.4010  4 Pt 2.72-2.83, 4 Pd 2.78-2.79, 1 Pu 2.87

---

Values of energy, in order: -6.264 -8.172 -7.361, all in eV per atom.
Values of N(E_F), in order: 33.06 10.59 15.14, all in states/eV/cell.